[1]
Material: TaFeGeAu
Method: DFT, PBE
State: relaxed

**Offset from the most stable computed form**: 0.0 meV per atom
**Density**: 13.2 g cm⁻³
**Space group**: F-43m
**Total energy**: -27.4 eV/f.u.
**Magnetic moment**: 1.82 μB per cell

```
TaFeGeAu
1.0
0.0000 3.1662 3.1662
3.1662 0.0000 3.1662
3.1662 3.1662 0.0000
Ta Fe Ge Au
1 1 1 1
Direct
0.0000 0.0000 0.0000 Ta
0.5000 0.5000 0.5000 Fe
0.2500 0.2500 0.2500 Ge
0.7500 0.7500 0.7500 Au
```


[2]
Material: FeTcGeAu
Method: DFT, PBE
State: relaxed

**Offset from the most stable computed form**: 0.0 meV per atom
**Density**: 11.8 g cm⁻³
**Space group**: F-43m
**Total energy**: -25.5 eV/f.u.
**Magnetic moment**: 2.63 μB per cell

```
FeTcGeAu
1.0
0.0000 3.0990 3.0990
3.0990 0.0000 3.0990
3.0990 3.0990 0.0000
Fe Tc Ge Au
1 1 1 1
Direct
0.0000 0.0000 0.0000 Fe
0.5000 0.5000 0.5000 Tc
0.7500 0.7500 0.7500 Ge
0.2500 0.2500 0.2500 Au
```


[3]
Material: FeGeTe3Au
Method: DFT, PBE
State: relaxed

**Density**: 7.8 g cm⁻³
**Space group**: Cmcm
**Total energy**: -25.6 eV/f.u.
**Magnetic moment**: 3.05 μB per cell

```
FeGeTe3Au
1.0
1.9260 -7.5397 0.0000
1.9260 7.5397 0.0000
0.0000 0.0000 10.3630
Fe Ge Te Au
2 2 6 2
Direct
0.0000 0.0000 0.0000 Fe
0.0000 0.0000 0.5000 Fe
0.3220 0.6780 0.7500 Ge
0.6780 0.3220 0.2500 Ge
0.0372 0.9628 0.2500 Te
0.3856 0.6144 0.0199 Te
0.3856 0.6144 0.4801 Te
0.6144 0.3856 0.5199 Te
0.6144 0.3856 0.9801 Te
0.9628 0.0372 0.7500 Te
0.2993 0.7007 0.2500 Au
0.7007 0.2993 0.7500 Au
```


> Which of these has the lowest total energy?

TaFeGeAu


> What is the formula in the second record?

FeTcGeAu


> total energy of number 1 (TaFeGeAu)?

-27.4 eV/f.u.